1.
Compound: BeZn2Fe
Source: Alexandria
Functional: PBE
Structure: optimized geometry

Values from the calculation:
DOS(E_F) (states/eV per atom): 0.56
E_form (eV per formula unit): 1.6

abc: 9.122 9.122 9.122
angles: 158.11 158.11 31.15
Positions (direct):
Be 0.000 0.000 0.000
Be 0.750 0.250 0.500
Zn 0.122 0.625 0.997
Zn 0.375 0.372 0.497
Zn 0.628 0.125 0.003
Zn 0.875 0.878 0.503
Fe 0.250 0.750 0.500
Fe 0.500 0.500 0.000

2.
Compound: BeZn2Fe
Source: Alexandria
Functional: PBE
Structure: optimized geometry

Values from the calculation:
DOS(E_F) (states/eV per atom): 0.41
E_form (eV per formula unit): 0.1

abc: 2.666 2.709 6.617
angles: 90.00 90.00 90.00
Positions (direct):
Be 0.000 0.000 0.000
Zn 0.000 0.000 0.473
Zn 0.500 0.500 0.770
Fe 0.500 0.500 0.204

3.
Compound: Be2ZnFe
Source: Alexandria
Functional: PBE
Structure: optimized geometry

Values from the calculation:
DOS(E_F) (states/eV per atom): 0.60
E_form (eV per formula unit): -0.1

abc: 3.655 3.655 2.915
angles: 90.00 90.00 90.00
Positions (direct):
Be 0.000 0.500 0.000
Be 0.500 0.000 0.000
Zn 0.000 0.000 0.500
Fe 0.500 0.500 0.500

4.
Compound: Be2ZnFe
Source: Alexandria
Functional: PBE
Structure: optimized geometry

Values from the calculation:
DOS(E_F) (states/eV per atom): 0.42
E_form (eV per formula unit): 0.0

abc: 4.588 4.588 4.588
angles: 146.48 131.06 60.63
Positions (direct):
Be 0.000 0.000 0.000
Be 0.767 0.267 0.500
Zn 0.514 0.514 0.000
Fe 0.244 0.744 0.500

5.
Compound: ZrBeFe2
Source: Alexandria
Functional: PBE
Structure: optimized geometry

Values from the calculation:
DOS(E_F) (states/eV per atom): 1.00
E_form (eV per formula unit): 0.2

abc: 3.017 3.898 4.697
angles: 90.00 102.87 90.00
Positions (direct):
Zr 0.000 0.000 0.000
Be 0.579 0.500 0.228
Fe 0.222 0.500 0.608
Fe 0.601 0.000 0.483

6.
Compound: ZrBe8Fe3
Source: Alexandria
Functional: PBE
Structure: optimized geometry

Values from the calculation:
DOS(E_F) (states/eV per atom): 0.39
E_form (eV per formula unit): -2.6

abc: 4.295 4.295 7.190
angles: 90.00 90.00 120.00
Positions (direct):
Zr 0.000 0.000 0.000
Be 0.165 0.330 0.677
Be 0.165 0.835 0.677
Be 0.333 0.667 0.446
Be 0.333 0.667 0.926
Be 0.502 0.005 0.215
Be 0.502 0.498 0.215
Be 0.670 0.835 0.677
Be 0.995 0.498 0.215
Fe 0.000 0.000 0.381
Fe 0.667 0.333 0.506
Fe 0.667 0.333 0.857

7.
Compound: Zr3Be2Fe7
Source: Alexandria
Functional: PBE
Structure: optimized geometry

Values from the calculation:
DOS(E_F) (states/eV per atom): 0.70
E_form (eV per formula unit): -3.2

abc: 8.070 8.070 8.070
angles: 35.45 35.45 35.45
Positions (direct):
Zr 0.000 0.000 0.000
Zr 0.141 0.141 0.141
Zr 0.859 0.859 0.859
Be 0.333 0.333 0.333
Be 0.667 0.667 0.667
Fe 0.077 0.579 0.579
Fe 0.421 0.421 0.923
Fe 0.421 0.923 0.421
Fe 0.500 0.500 0.500
Fe 0.579 0.077 0.579
Fe 0.579 0.579 0.077
Fe 0.923 0.421 0.421

8.
Compound: Zr3Be2Fe
Source: Alexandria
Functional: PBE
Structure: optimized geometry

Values from the calculation:
DOS(E_F) (states/eV per atom): 1.12
E_form (eV per formula unit): -0.6

abc: 10.577 3.856 9.712
angles: 90.00 90.00 90.00
Positions (direct):
Zr 0.043 0.250 0.127
Zr 0.122 0.750 0.570
Zr 0.224 0.250 0.801
Zr 0.276 0.750 0.301
Zr 0.378 0.250 0.070
Zr 0.457 0.750 0.627
Zr 0.543 0.250 0.373
Zr 0.622 0.750 0.930
Zr 0.724 0.250 0.699
Zr 0.776 0.750 0.199
Zr 0.878 0.250 0.430
Zr 0.957 0.750 0.873
Be 0.020 0.750 0.315
Be 0.193 0.750 0.008
Be 0.307 0.250 0.508
Be 0.480 0.250 0.815
Be 0.520 0.750 0.185
Be 0.693 0.750 0.492
Be 0.807 0.250 0.992
Be 0.980 0.250 0.685
Fe 0.127 0.250 0.381
Fe 0.373 0.750 0.881
Fe 0.627 0.250 0.119
Fe 0.873 0.750 0.619

9.
Compound: ZrBe2Fe
Source: Alexandria
Functional: PBE
Structure: optimized geometry

Values from the calculation:
DOS(E_F) (states/eV per atom): 0.59
Relative energy among the computed polymorphs (eV per atom): 0.078
E_form (eV per formula unit): -0.2

abc: 3.418 5.002 5.002
angles: 35.13 90.00 90.00
Positions (direct):
Zr 0.000 0.000 0.000
Be 0.000 0.737 0.737
Be 0.500 0.629 0.629
Fe 0.500 0.310 0.310

10.
Compound: ZrBeFe2
Source: Alexandria
Functional: PBE
Structure: optimized geometry

Values from the calculation:
DOS(E_F) (states/eV per atom): 1.04
E_form (eV per formula unit): 0.2

abc: 4.672 4.672 4.672
angles: 133.04 133.04 68.60
Positions (direct):
Zr 0.000 0.000 0.000
Be 0.500 0.500 0.000
Fe 0.250 0.750 0.500
Fe 0.750 0.250 0.500

11.
Compound: ZrBeFe
Source: Alexandria
Functional: PBE
Structure: optimized geometry

Values from the calculation:
DOS(E_F) (states/eV per atom): 0.77
Relative energy among the computed polymorphs (eV per atom): 0.000
E_form (eV per formula unit): -0.6

abc: 4.832 4.832 4.832
angles: 119.07 118.88 91.78
Positions (direct):
Zr 0.381 0.131 0.250
Zr 0.619 0.869 0.750
Be 0.000 0.000 0.500
Be 0.000 0.500 0.000
Fe 0.000 0.500 0.500
Fe 0.500 0.500 0.000

12.
Compound: Zr3BeFe
Source: Alexandria
Functional: PBE
Structure: optimized geometry

Values from the calculation:
DOS(E_F) (states/eV per atom): 1.88
Relative energy among the computed polymorphs (eV per atom): 0.000
E_form (eV per formula unit): 2.7

abc: 4.765 4.765 4.765
angles: 90.00 90.00 90.00
Positions (direct):
Zr 0.000 0.000 0.500
Zr 0.000 0.500 0.000
Zr 0.500 0.000 0.000
Be 0.500 0.500 0.500
Fe 0.000 0.000 0.000